Entry 1:
Below is a geometry-optimized YGa2Ni2Ir structure, with properties calculated at the GGA-PBE level.

Structure (POSCAR):
```
YGa2Ni2Ir
1.0
4.678 0.000 0.000
0.000 4.678 0.000
0.000 0.000 5.284
Y Ga Ni Ir
1 2 2 1
direct
0.000 0.000 0.000
0.000 0.500 0.500
0.500 0.000 0.500
0.500 0.500 0.244
0.500 0.500 0.756
0.000 0.000 0.500
```

Magnetization, Bohr magnetons per cell: 0.000
Energy of formation, eV per formula unit: -0.4
Theoretical density, g/cm³: 7.72

---

Entry 2:
Below is a geometry-optimized Zn2GaNiIr structure, with properties calculated at the GGA-PBE level.

Structure (POSCAR):
```
Zn2GaNiIr
1.0
4.760 0.000 0.000
0.000 4.760 0.000
0.000 0.000 4.678
Zn Ga Ni Ir
2 1 1 1
direct
0.000 0.500 0.000
0.500 0.000 0.000
0.000 0.000 0.500
0.500 0.500 0.500
0.000 0.000 0.000
```

Magnetization, Bohr magnetons per cell: 0.487
Energy of formation, eV per formula unit: 2.8
Theoretical density, g/cm³: 7.07